i) First-principles (GGA-PBE) data for crystalline PmEuY2 at its relaxed geometry, as listed in the Alexandria database.

POSCAR file:
```
PmEuY2
1.0
3.670 0.000 0.000
0.000 3.670 0.000
0.000 0.000 10.336
Pm Eu Y
1 1 2
direct
0.000 0.000 0.000
0.000 0.000 0.500
0.500 0.500 0.237
0.500 0.500 0.763
```

Output
- space-group type = P4/mmm
- density (Mg/m³) = 5.662

ii) First-principles (GGA-PBE) data for crystalline PmEuY2 at its relaxed geometry, as listed in the Alexandria database.

POSCAR file:
```
PmEuY2
1.0
0.000 4.104 4.104
4.104 0.000 4.104
4.104 4.104 0.000
Pm Eu Y
1 1 2
direct
0.000 0.000 0.000
0.500 0.500 0.500
0.250 0.250 0.250
0.750 0.750 0.750
```

Output
- space-group type = Fm-3m
- density (Mg/m³) = 5.703

iii) First-principles (GGA-PBE) data for crystalline PmEuY2 at its relaxed geometry, as listed in the Alexandria database.

POSCAR file:
```
PmEuY2
1.0
5.162 0.000 0.000
0.000 5.162 0.000
0.000 0.000 5.144
Pm Eu Y
1 1 2
direct
0.000 0.000 0.000
0.500 0.500 0.000
0.000 0.500 0.500
0.500 0.000 0.500
```

Output
- space-group type = P4/mmm
- density (Mg/m³) = 5.752

The structure with the most favorable energy is i); the runner-up is 25 meV/atom above it.

i) First-principles (GGA-PBE) data for crystalline Pm2EuY at its relaxed geometry, as listed in the Alexandria database.

POSCAR file:
```
Pm2EuY
1.0
1.835 1.059 12.044
-1.835 1.059 12.044
0.000 -2.118 12.044
Pm Eu Y
2 1 1
direct
0.246 0.246 0.246
0.754 0.754 0.754
0.000 0.000 0.000
0.500 0.500 0.500
```

Output
- space-group type = R-3m
- density (Mg/m³) = 6.278

ii) First-principles (GGA-PBE) data for crystalline Pm2EuY at its relaxed geometry, as listed in the Alexandria database.

POSCAR file:
```
Pm2EuY
1.0
5.187 0.000 0.000
0.000 5.187 0.000
0.000 0.000 5.185
Pm Eu Y
2 1 1
direct
0.000 0.500 0.000
0.500 0.000 0.000
0.000 0.000 0.500
0.500 0.500 0.500
```

Output
- space-group type = P4/mmm
- density (Mg/m³) = 6.320

iii) First-principles (GGA-PBE) data for crystalline Pm2EuY at its relaxed geometry, as listed in the Alexandria database.

POSCAR file:
```
Pm2EuY
1.0
3.672 0.000 0.000
0.000 3.672 0.000
0.000 0.000 10.440
Pm Eu Y
2 1 1
direct
0.000 0.000 0.237
0.000 0.000 0.763
0.500 0.500 0.500
0.500 0.500 0.000
```

Output
- space-group type = P4/mmm
- density (Mg/m³) = 6.261

The structure with the most favorable energy is i); the runner-up is 5 meV/atom above it.

i) First-principles (GGA-PBE) data for crystalline PmEuZn at its relaxed geometry, as listed in the Alexandria database.

POSCAR file:
```
PmEuZn
1.0
-1.865 1.865 6.418
1.865 -1.865 6.418
1.865 1.865 -6.418
Pm Eu Zn
1 1 1
direct
0.000 0.000 0.000
0.724 0.724 0.000
0.372 0.372 0.000
```

Output
- space-group type = I4mm
- density (Mg/m³) = 6.739

ii) First-principles (GGA-PBE) data for crystalline PmEuZn at its relaxed geometry, as listed in the Alexandria database.

POSCAR file:
```
PmEuZn
1.0
0.000 3.651 3.651
3.651 0.000 3.651
3.651 3.651 0.000
Pm Eu Zn
1 1 1
direct
0.000 0.000 0.000
0.500 0.500 0.500
0.750 0.750 0.750
```

Output
- space-group type = F-43m
- density (Mg/m³) = 6.180

The structure with the most favorable energy is i); the runner-up is 230 meV/atom above it.

i) First-principles (GGA-PBE) data for crystalline Pm2EuZn at its relaxed geometry, as listed in the Alexandria database.

POSCAR file:
```
Pm2EuZn
1.0
4.962 0.000 0.000
0.000 4.962 0.000
0.000 0.000 4.756
Pm Eu Zn
2 1 1
direct
0.000 0.500 0.000
0.500 0.000 0.000
0.000 0.000 0.500
0.500 0.500 0.500
```

Output
- space-group type = P4/mmm
- density (Mg/m³) = 7.197

ii) First-principles (GGA-PBE) data for crystalline Pm2EuZn at its relaxed geometry, as listed in the Alexandria database.

POSCAR file:
```
Pm2EuZn
1.0
0.000 3.882 3.882
3.882 0.000 3.882
3.882 3.882 0.000
Pm Eu Zn
2 1 1
direct
0.250 0.250 0.250
0.750 0.750 0.750
0.000 0.000 0.000
0.500 0.500 0.500
```

Output
- space-group type = Fm-3m
- density (Mg/m³) = 7.203

The structure with the most favorable energy is i); the runner-up is 34 meV/atom above it.

i) First-principles (GGA-PBE) data for crystalline PmEu2Zn at its relaxed geometry, as listed in the Alexandria database.

POSCAR file:
```
PmEu2Zn
1.0
0.000 3.938 3.938
3.938 0.000 3.938
3.938 3.938 0.000
Pm Eu Zn
1 2 1
direct
0.000 0.000 0.000
0.250 0.250 0.250
0.750 0.750 0.750
0.500 0.500 0.500
```

Output
- space-group type = Fm-3m
- density (Mg/m³) = 6.994

ii) First-principles (GGA-PBE) data for crystalline PmEu2Zn at its relaxed geometry, as listed in the Alexandria database.

POSCAR file:
```
PmEu2Zn
1.0
3.718 0.000 0.000
0.000 3.718 0.000
0.000 0.000 9.269
Pm Eu Zn
1 2 1
direct
0.000 0.000 0.000
0.500 0.500 0.299
0.500 0.500 0.701
0.000 0.000 0.500
```

Output
- space-group type = P4/mmm
- density (Mg/m³) = 6.666

The structure with the most favorable energy is ii); the runner-up is 198 meV/atom above it.

i) First-principles (GGA-PBE) data for crystalline PrEuPt2 at its relaxed geometry, as listed in the Alexandria database.

POSCAR file:
```
PrEuPt2
1.0
3.621 0.000 0.000
0.000 3.621 0.000
0.000 0.000 7.231
Pr Eu Pt
1 1 2
direct
0.000 0.000 0.000
0.000 0.000 0.500
0.500 0.500 0.238
0.500 0.500 0.762
```

Output
- space-group type = P4/mmm
- density (Mg/m³) = 11.964

ii) First-principles (GGA-PBE) data for crystalline PrEuPt2 at its relaxed geometry, as listed in the Alexandria database.

POSCAR file:
```
PrEuPt2
1.0
2.109 1.217 6.922
-2.109 1.217 6.922
0.000 -2.435 6.922
Pr Eu Pt
1 1 2
direct
0.000 0.000 0.000
0.500 0.500 0.500
0.251 0.251 0.251
0.749 0.749 0.749
```

Output
- space-group type = R-3m
- density (Mg/m³) = 10.638

The structure with the most favorable energy is i); the runner-up is 63 meV/atom above it.

i) First-principles (GGA-PBE) data for crystalline PrEuPt at its relaxed geometry, as listed in the Alexandria database.

POSCAR file:
```
PrEuPt
1.0
0.000 3.570 3.570
3.570 0.000 3.570
3.570 3.570 0.000
Pr Eu Pt
1 1 1
direct
0.000 0.000 0.000
0.500 0.500 0.500
0.750 0.750 0.750
```

Output
- space-group type = F-43m
- density (Mg/m³) = 8.907

ii) First-principles (GGA-PBE) data for crystalline PrEuPt at its relaxed geometry, as listed in the Alexandria database.

POSCAR file:
```
PrEuPt
1.0
4.265 0.000 0.000
-2.133 3.694 0.000
0.000 0.000 6.614
Pr Eu Pt
1 1 1
direct
0.000 0.000 0.000
0.333 0.667 0.524
0.667 0.333 0.776
```

Output
- space-group type = P3m1
- density (Mg/m³) = 7.776

The structure with the most favorable energy is i); the runner-up is 24 meV/atom above it.

i) First-principles (GGA-PBE) data for crystalline PrEuPu at its relaxed geometry, as listed in the Alexandria database.

POSCAR file:
```
PrEuPu
1.0
-1.796 1.796 7.964
1.796 -1.796 7.964
1.796 1.796 -7.964
Pr Eu Pu
1 1 1
direct
0.000 0.000 0.000
0.682 0.682 0.000
0.345 0.345 0.000
```

Output
- space-group type = I4mm
- density (Mg/m³) = 8.674

ii) First-principles (GGA-PBE) data for crystalline PrEuPu at its relaxed geometry, as listed in the Alexandria database.

POSCAR file:
```
PrEuPu
1.0
5.882 0.000 0.000
-2.941 5.094 0.000
0.000 0.000 3.402
Pr Eu Pu
1 1 1
direct
0.000 0.000 0.000
0.333 0.667 0.971
0.667 0.333 0.491
```

Output
- space-group type = P3m1
- density (Mg/m³) = 8.746

The structure with the most favorable energy is i); the runner-up is 125 meV/atom above it.